# 1
TcHg2Se (GGA-PBE, optimized geometry); magnetization = 0.00 Bohr magnetons per cell; symmetry = Amm2 (38); raw formation energy = 0.80 eV per formula unit; raw total energy = -3.4132 eV per atom; calculated density = 10.1 g cm⁻³
1.0
3.1585 0.0000 0.0000
0.0000 4.5679 0.0023
0.0000 2.2858 6.5627
Hg Tc Se
2 1 1
Cartesian
1.5793 2.0002 1.5730 Hg
0.0000 6.5680 5.9224 Hg
1.5793 4.2846 5.3742 Tc
0.0000 4.2813 3.5430 Se

=====

# 2
TcHgSe2 (GGA-PBE, optimized geometry); magnetization = 0.00 Bohr magnetons per cell; symmetry = R-3m (166); raw formation energy = 1.52 eV per formula unit; raw total energy = -4.0303 eV per atom; calculated density = 8.7 g cm⁻³
1.0
1.6897 0.0000 11.6967
-0.8448 1.4633 11.6967
-0.8448 -1.4633 11.6967
Tc Se Hg
1 2 1
Cartesian
0.0000 0.0000 0.0000 Tc
0.0000 0.0000 2.4324 Se
0.0000 0.0000 32.6576 Se
0.0000 0.0000 17.5450 Hg

=====

# 3
TcHgSe2 (GGA-PBE, optimized geometry); magnetization = 0.00 Bohr magnetons per cell; symmetry = Cmcm (63); raw formation energy = -0.16 eV per formula unit; raw total energy = -4.4498 eV per atom; calculated density = 8.5 g cm⁻³
1.0
1.5551 -13.6981 0.0000
1.5551 13.6981 0.0000
0.0000 0.0000 4.1712
Se Tc Hg
4 2 2
Cartesian
1.5551 10.4170 3.1284 Se
1.5551 -7.8148 3.1284 Se
1.5551 -10.4170 1.0428 Se
1.5551 7.8148 1.0428 Se
1.5551 5.2009 1.0428 Tc
1.5551 -5.2009 3.1284 Tc
1.5551 12.5940 1.0428 Hg
1.5551 -12.5940 3.1284 Hg

=====

# 4
TcHg2Se (GGA-PBE, optimized geometry); magnetization = 0.00 Bohr magnetons per cell; symmetry = P4mm (99); raw formation energy = 0.23 eV per formula unit; raw total energy = -3.5551 eV per atom; calculated density = 11.0 g cm⁻³
1.0
-1.5351 -2.2708 -1.3696
-0.2148 -1.4709 2.6795
-8.0190 4.3640 1.7527
Hg Se Tc
2 1 1
Cartesian
-2.8332 -0.8052 1.0829 Hg
-7.5881 4.1294 1.6585 Hg
-4.6804 2.5471 1.0230 Se
-6.6958 1.2968 1.9272 Tc